No. 1
The following is a GGA-PBE calculation of an optimized crystal structure of Na2Ca2Cd, from Alexandria.

Calculated values
E above lowest polymorph: 0.000 eV per atom
Energy: -1.64 eV per atom
ΔH_f (0 K): -131 meV/atom

a b c (Å): 3.8752 3.8752 11.6844
angles (deg): 99.55 99.55 90.00
With the nearest neighbours (Å) after each atom.
Atoms (fractional coordinates):
Na1 0.8019 0.8019 0.6039  8 Na 3.62-3.88, 4 Ca 3.81
Na2 0.1981 0.1981 0.3961  8 Na 3.62-3.88, 4 Ca 3.81
Ca1 0.5816 0.5816 0.1631  4 Cd 3.31
Ca2 0.4184 0.4184 0.8369  4 Cd 3.31
Cd1 0.0000 0.0000 0.0000  8 Ca 3.31

No. 2
The following is a GGA-PBE calculation of an optimized crystal structure of NaCa2Cd8, from Alexandria.

Calculated values
Energy: -1.30 eV per atom
ΔH_f (0 K): -155 meV/atom

a b c (Å): 5.0649 7.2245 8.8061
angles (deg): 114.22 106.71 90.00
With the nearest neighbours (Å) after each atom.
Atoms (fractional coordinates):
Ca1 0.2079 0.7079 0.4157  10 Cd 3.17-3.50
Ca2 0.7921 0.2921 0.5843  10 Cd 3.17-3.50
Cd1 0.0000 0.2958 0.0000  7 Cd 2.95-3.21
Cd2 0.6297 0.4242 0.2593  1 Na 2.90, 3 Cd 2.97-3.21, 2 Ca 3.17
Cd3 0.3703 0.1648 0.7407  1 Na 2.90, 3 Cd 2.97-3.21, 2 Ca 3.17
Cd4 0.6297 0.8352 0.2593  1 Na 2.90, 3 Cd 2.97-3.21, 2 Ca 3.17
Cd5 0.0000 0.7042 0.0000  7 Cd 2.95-3.21
Cd6 0.1510 0.1510 0.3019  6 Cd 3.14-3.32, 2 Ca 3.32, 2 Na 3.42
Cd7 0.8490 0.8490 0.6981  6 Cd 3.14-3.32, 2 Ca 3.32, 2 Na 3.42
Cd8 0.3703 0.5758 0.7407  1 Na 2.90, 3 Cd 2.97-3.21, 2 Ca 3.17
Na1 0.5000 0.0000 0.0000  4 Cd 2.90

No. 3
The following is a GGA-PBE calculation of an optimized crystal structure of Na2CaCd2, from Alexandria.

Calculated values
E above lowest polymorph: 0.032 eV per atom
Energy: -1.39 eV per atom
ΔH_f (0 K): -99 meV/atom

a b c (Å): 4.4560 4.4560 8.1431
angles (deg): 74.12 74.12 90.00
With the nearest neighbours (Å) after each atom.
Atoms (fractional coordinates):
Na1 0.2500 0.7500 0.5000  4 Na 3.15, 4 Cd 3.22
Na2 0.7500 0.2500 0.5000  4 Na 3.15, 4 Cd 3.22
Cd1 0.4048 0.4048 0.1904  1 Cd 2.86
Cd2 0.5952 0.5952 0.8096  1 Cd 2.86
Ca1 0.0000 0.0000 0.0000  8 Cd 3.46

No. 4
The following is a GGA-PBE calculation of an optimized crystal structure of NaCa2Cd9, from Alexandria.

Calculated values
Energy: -1.32 eV per atom
ΔH_f (0 K): -187 meV/atom

a b c (Å): 6.0286 6.0286 10.3189
angles (deg): 73.02 73.02 60.00
With the nearest neighbours (Å) after each atom.
Atoms (fractional coordinates):
Cd1 0.4115 0.9220 0.2550  7 Cd 2.95-3.08
Cd2 0.6652 0.6652 0.0044  6 Cd 3.01-3.04
Cd3 0.5885 0.5885 0.7450  7 Cd 2.95-3.08
Cd4 0.9220 0.4115 0.2550  7 Cd 2.95-3.08
Cd5 0.4115 0.4115 0.2550  7 Cd 2.95-3.08
Cd6 0.5885 0.0780 0.7450  7 Cd 2.95-3.08
Cd7 0.5000 0.5000 0.5000  6 Cd 2.97
Cd8 0.3348 0.3348 0.9956  6 Cd 3.01-3.04
Cd9 0.0780 0.5885 0.7450  7 Cd 2.95-3.08
Ca1 0.8566 0.8566 0.4303  12 Cd 3.46-3.55, 3 Ca 3.73
Ca2 0.1434 0.1434 0.5697  12 Cd 3.46-3.55, 3 Ca 3.73
Na1 0.0000 0.0000 0.0000  6 Cd 3.48